(1)
Below is Ir5C after structural relaxation, with properties calculated at the GGA-PBE level.

The structure in CIF format:
```
data_Ir5C
_chemical_formula_sum 'Ir20 C4'
_cell_length_a 7.2213
_cell_length_b 7.2213
_cell_length_c 7.2213
_cell_angle_alpha 90.00
_cell_angle_beta 90.00
_cell_angle_gamma 90.00
_symmetry_space_group_name_H-M 'F -4 3 m'
_symmetry_Int_Tables_number 216
_symmetry_space_group_name_Hall 'F -4 2 3'
loop_
_atom_site_label
_atom_site_type_symbol
_atom_site_fract_x
_atom_site_fract_y
_atom_site_fract_z
_atom_site_occupancy
Ir1 Ir 0.0000 0.0000 0.0000 1
Ir2 Ir 0.1250 0.1250 0.3750 1
C1 C 0.2500 0.2500 0.7500 1
```

Values from the calculation:
* energy of formation: 1780.6 meV per atom
* DFT total energy: -7.141 eV/atom
* calculated volume: 15.69 Å³/atom
* size of the total moment: 0.03 μB/cell
* density of states at the Fermi level: 2.05 states/eV/atom

***

(2)
Below is YMg2I after structural relaxation, with properties calculated at the GGA-PBE level.

The structure in CIF format:
```
data_YMg2I
_chemical_formula_sum 'Y4 Mg8 I4'
_cell_length_a 8.7651
_cell_length_b 8.7651
_cell_length_c 6.2222
_cell_angle_alpha 90.00
_cell_angle_beta 90.00
_cell_angle_gamma 90.00
_symmetry_space_group_name_H-M 'I -4 2 d'
_symmetry_Int_Tables_number 122
_symmetry_space_group_name_Hall 'I -4 2bw'
loop_
_atom_site_label
_atom_site_type_symbol
_atom_site_fract_x
_atom_site_fract_y
_atom_site_fract_z
_atom_site_occupancy
Y1 Y 0.0000 0.0000 0.0000 1
Mg1 Mg 0.2333 0.2500 0.6250 1
I1 I 0.0000 0.0000 0.5000 1
```

Values from the calculation:
* DFT total energy: -2.824 eV/atom
* calculated volume: 29.88 Å³/atom
* size of the total moment: 0.00 μB/cell
* formation energy without anion corrections: -23 meV per atom
* density of states at the Fermi level: 0.90 states/eV/atom

***

(3)
Below is CeSc3Al after structural relaxation, with properties calculated at the GGA-PBE level.

The structure in CIF format:
```
data_CeSc3Al
_chemical_formula_sum 'Ce2 Sc6 Al2'
_cell_length_a 3.1958
_cell_length_b 10.2681
_cell_length_c 8.0379
_cell_angle_alpha 90.00
_cell_angle_beta 101.41
_cell_angle_gamma 90.00
_symmetry_space_group_name_H-M 'P 1 21/m 1'
_symmetry_Int_Tables_number 11
_symmetry_space_group_name_Hall '-P 2yb'
loop_
_atom_site_label
_atom_site_type_symbol
_atom_site_fract_x
_atom_site_fract_y
_atom_site_fract_z
_atom_site_occupancy
Ce1 Ce 0.0148 0.2500 0.0331 1
Sc1 Sc 0.1548 0.5118 0.3085 1
Sc2 Sc 0.2964 0.7500 0.5919 1
Al1 Al 0.3539 0.2500 0.7096 1
```

Values from the calculation:
* energy of formation: 48.2 meV per atom
* DFT total energy: -5.686 eV/atom
* calculated volume: 25.85 Å³/atom
* size of the total moment: 1.96 μB/cell
* density of states at the Fermi level: 1.82 states/eV/atom

***

(4)
Below is HPdPb2N after structural relaxation, with properties calculated at the GGA-PBE level.

The structure in CIF format:
```
data_HPdPb2N
_chemical_formula_sum 'H1 Pd1 Pb2 N1'
_cell_length_a 5.2339
_cell_length_b 5.2339
_cell_length_c 2.9297
_cell_angle_alpha 90.00
_cell_angle_beta 90.00
_cell_angle_gamma 90.00
_symmetry_space_group_name_H-M 'P 4/m m m'
_symmetry_Int_Tables_number 123
_symmetry_space_group_name_Hall '-P 4 2'
loop_
_atom_site_label
_atom_site_type_symbol
_atom_site_fract_x
_atom_site_fract_y
_atom_site_fract_z
_atom_site_occupancy
H1 H 0.0000 0.0000 0.0000 1
Pd1 Pd 0.5000 0.5000 0.5000 1
Pb1 Pb 0.0000 0.5000 0.0000 1
N1 N 0.0000 0.0000 0.5000 1
```

Values from the calculation:
* DFT total energy: -4.331 eV/atom
* calculated volume: 16.05 Å³/atom
* size of the total moment: 0.00 μB/cell
* density of states at the Fermi level: 0.17 states/eV/atom

***

(5)
Below is TbDy2Cu3 after structural relaxation, with properties calculated at the GGA-PBE level.

The structure in CIF format:
```
data_TbDy2Cu3
_chemical_formula_sum 'Tb1 Dy2 Cu3'
_cell_length_a 3.4673
_cell_length_b 3.4673
_cell_length_c 10.4356
_cell_angle_alpha 90.00
_cell_angle_beta 90.00
_cell_angle_gamma 90.00
_symmetry_space_group_name_H-M 'P 4/m m m'
_symmetry_Int_Tables_number 123
_symmetry_space_group_name_Hall '-P 4 2'
loop_
_atom_site_label
_atom_site_type_symbol
_atom_site_fract_x
_atom_site_fract_y
_atom_site_fract_z
_atom_site_occupancy
Tb1 Tb 0.0000 0.0000 0.0000 1
Dy1 Dy 0.0000 0.0000 0.3339 1
Cu1 Cu 0.5000 0.5000 0.1681 1
Cu2 Cu 0.5000 0.5000 0.5000 1
```

Values from the calculation:
* energy of formation: -251.3 meV per atom
* DFT total energy: -4.605 eV/atom
* calculated volume: 20.91 Å³/atom
* size of the total moment: 0.00 μB/cell
* density of states at the Fermi level: 0.46 states/eV/atom

***

(6)
Below is SmCuSnRu after structural relaxation, with properties calculated at the GGA-PBE level.

The structure in CIF format:
```
data_SmCuSnRu
_chemical_formula_sum 'Sm4 Cu4 Sn4 Ru4'
_cell_length_a 6.7296
_cell_length_b 6.7296
_cell_length_c 6.7296
_cell_angle_alpha 90.00
_cell_angle_beta 90.00
_cell_angle_gamma 90.00
_symmetry_space_group_name_H-M 'F -4 3 m'
_symmetry_Int_Tables_number 216
_symmetry_space_group_name_Hall 'F -4 2 3'
loop_
_atom_site_label
_atom_site_type_symbol
_atom_site_fract_x
_atom_site_fract_y
_atom_site_fract_z
_atom_site_occupancy
Sm1 Sm 0.0000 0.0000 0.0000 1
Cu1 Cu 0.2500 0.2500 0.2500 1
Sn1 Sn 0.0000 0.0000 0.5000 1
Ru1 Ru 0.2500 0.2500 0.7500 1
```

Values from the calculation:
* energy of formation: -196.1 meV per atom
* DFT total energy: -5.720 eV/atom
* calculated volume: 19.05 Å³/atom
* size of the total moment: 0.00 μB/cell
* density of states at the Fermi level: 0.81 states/eV/atom

***

(7)
Below is MnOs2Ru2 after structural relaxation, with properties calculated at the GGA-PBE level.

The structure in CIF format:
```
data_MnOs2Ru2
_chemical_formula_sum 'Mn2 Os4 Ru4'
_cell_length_a 5.1368
_cell_length_b 5.3761
_cell_length_c 5.4543
_cell_angle_alpha 101.12
_cell_angle_beta 99.51
_cell_angle_gamma 97.12
_symmetry_space_group_name_H-M 'P -1'
_symmetry_Int_Tables_number 2
_symmetry_space_group_name_Hall '-P 1'
loop_
_atom_site_label
_atom_site_type_symbol
_atom_site_fract_x
_atom_site_fract_y
_atom_site_fract_z
_atom_site_occupancy
Mn1 Mn 0.0390 0.3232 0.3685 1
Os1 Os 0.1849 0.3876 0.9463 1
Os2 Os 0.2869 0.0398 0.5925 1
Ru1 Ru 0.2513 0.9337 0.0663 1
Ru2 Ru 0.4530 0.6249 0.6872 1
```

Values from the calculation:
* energy of formation: 308.3 meV per atom
* DFT total energy: -9.728 eV/atom
* calculated volume: 14.39 Å³/atom
* size of the total moment: 0.00 μB/cell
* density of states at the Fermi level: 0.81 states/eV/atom

***

(8)
Below is ZrNb2Tl2 after structural relaxation, with properties calculated at the GGA-PBE level.

The structure in CIF format:
```
data_ZrNb2Tl2
_chemical_formula_sum 'Zr2 Nb4 Tl4'
_cell_length_a 4.3181
_cell_length_b 4.3181
_cell_length_c 12.7715
_cell_angle_alpha 90.00
_cell_angle_beta 90.00
_cell_angle_gamma 90.00
_symmetry_space_group_name_H-M 'I 4/m m m'
_symmetry_Int_Tables_number 139
_symmetry_space_group_name_Hall '-I 4 2'
loop_
_atom_site_label
_atom_site_type_symbol
_atom_site_fract_x
_atom_site_fract_y
_atom_site_fract_z
_atom_site_occupancy
Zr1 Zr 0.0000 0.0000 0.0000 1
Nb1 Nb 0.0000 0.0000 0.4104 1
Tl1 Tl 0.0000 0.5000 0.2500 1
```

Values from the calculation:
* energy of formation: 612.3 meV per atom
* DFT total energy: -6.072 eV/atom
* calculated volume: 23.81 Å³/atom
* size of the total moment: 0.00 μB/cell
* density of states at the Fermi level: 0.57 states/eV/atom

***

(9)
Below is CaPuReO6 after structural relaxation, with properties calculated at the GGA-PBE level.

The structure in CIF format:
```
data_CaPuReO6
_chemical_formula_sum 'Ca2 Pu2 Re2 O12'
_cell_length_a 5.4963
_cell_length_b 5.4963
_cell_length_c 9.9011
_cell_angle_alpha 90.00
_cell_angle_beta 90.00
_cell_angle_gamma 120.00
_symmetry_space_group_name_H-M 'P -3 1 c'
_symmetry_Int_Tables_number 163
_symmetry_space_group_name_Hall '-P 3 2c'
loop_
_atom_site_label
_atom_site_type_symbol
_atom_site_fract_x
_atom_site_fract_y
_atom_site_fract_z
_atom_site_occupancy
Ca1 Ca 0.0000 0.0000 0.0000 1
Pu1 Pu 0.3333 0.6667 0.2500 1
Re1 Re 0.3333 0.6667 0.7500 1
O1 O 0.0365 0.3752 0.6405 1
```

Values from the calculation:
* DFT total energy: -8.898 eV/atom
* calculated volume: 14.39 Å³/atom
* size of the total moment: 10.01 μB/cell
* formation energy without anion corrections: -2395 meV per atom
* density of states at the Fermi level: 0.66 states/eV/atom

***

(10)
Below is Sr6Hg2Au after structural relaxation, with properties calculated at the GGA-PBE level.

The structure in CIF format:
```
data_Sr6Hg2Au
_chemical_formula_sum 'Sr12 Hg4 Au2'
_cell_length_a 7.5505
_cell_length_b 8.5928
_cell_length_c 13.5584
_cell_angle_alpha 90.00
_cell_angle_beta 122.31
_cell_angle_gamma 90.00
_symmetry_space_group_name_H-M 'P 1 21/c 1'
_symmetry_Int_Tables_number 14
_symmetry_space_group_name_Hall '-P 2ybc'
loop_
_atom_site_label
_atom_site_type_symbol
_atom_site_fract_x
_atom_site_fract_y
_atom_site_fract_z
_atom_site_occupancy
Sr1 Sr 0.0967 0.1818 0.4369 1
Sr2 Sr 0.2707 0.6785 0.4310 1
Sr3 Sr 0.3974 0.0376 0.2479 1
Hg1 Hg 0.1822 0.1195 0.7421 1
Au1 Au 0.5000 0.0000 0.5000 1
```

Values from the calculation:
* energy of formation: -429.0 meV per atom
* DFT total energy: -1.981 eV/atom
* calculated volume: 41.30 Å³/atom
* size of the total moment: 0.00 μB/cell
* density of states at the Fermi level: 0.89 states/eV/atom

***

(11)
Below is LiHo2USe6 after structural relaxation, with properties calculated at the GGA-PBE level.

The structure in CIF format:
```
data_LiHo2USe6
_chemical_formula_sum 'Li3 Ho6 U3 Se18'
_cell_length_a 7.0744
_cell_length_b 7.0744
_cell_length_c 19.2124
_cell_angle_alpha 90.00
_cell_angle_beta 90.00
_cell_angle_gamma 120.00
_symmetry_space_group_name_H-M 'R 3'
_symmetry_Int_Tables_number 146
_symmetry_space_group_name_Hall 'R 3'
loop_
_atom_site_label
_atom_site_type_symbol
_atom_site_fract_x
_atom_site_fract_y
_atom_site_fract_z
_atom_site_occupancy
Li1 Li 0.0000 0.0000 0.0000 1
Ho1 Ho 0.0000 0.0000 0.2963 1
Ho2 Ho 0.0000 0.0000 0.8046 1
U1 U 0.0000 0.0000 0.4892 1
Se1 Se 0.0298 0.6679 0.0655 1
Se2 Se 0.0342 0.3434 0.5672 1
```

Values from the calculation:
* DFT total energy: -5.789 eV/atom
* calculated volume: 27.76 Å³/atom
* size of the total moment: 3.00 μB/cell
* formation energy without anion corrections: -1462 meV per atom
* density of states at the Fermi level: 0.05 states/eV/atom

***

(12)
Below is Cs2RbGeBr6 after structural relaxation, with properties calculated at the GGA-PBE level.

The structure in CIF format:
```
data_Cs2RbGeBr6
_chemical_formula_sum 'Cs4 Rb2 Ge2 Br12'
_cell_length_a 8.2611
_cell_length_b 8.4960
_cell_length_c 14.3485
_cell_angle_alpha 90.00
_cell_angle_beta 124.57
_cell_angle_gamma 90.00
_symmetry_space_group_name_H-M 'P 1 21/c 1'
_symmetry_Int_Tables_number 14
_symmetry_space_group_name_Hall '-P 2ybc'
loop_
_atom_site_label
_atom_site_type_symbol
_atom_site_fract_x
_atom_site_fract_y
_atom_site_fract_z
_atom_site_occupancy
Cs1 Cs 0.2334 0.0562 0.2482 1
Rb1 Rb 0.5000 0.0000 0.0000 1
Ge1 Ge 0.0000 0.0000 0.5000 1
Br1 Br 0.1335 0.2389 0.9591 1
Br2 Br 0.2248 0.6784 0.9626 1
Br3 Br 0.2935 0.0168 0.7194 1
```

Values from the calculation:
* DFT total energy: -2.986 eV/atom
* calculated volume: 41.46 Å³/atom
* size of the total moment: 0.00 μB/cell
* formation energy without anion corrections: -1253 meV per atom
* density of states at the Fermi level: 0.64 states/eV/atom

***

Q: Which value of calculated volume does entry 6 give?
A: 19.05 Å³/atom

***

Copy entry 4 word for word.
Below is HPdPb2N after structural relaxation, with properties calculated at the GGA-PBE level.

The structure in CIF format:
```
data_HPdPb2N
_chemical_formula_sum 'H1 Pd1 Pb2 N1'
_cell_length_a 5.2339
_cell_length_b 5.2339
_cell_length_c 2.9297
_cell_angle_alpha 90.00
_cell_angle_beta 90.00
_cell_angle_gamma 90.00
_symmetry_space_group_name_H-M 'P 4/m m m'
_symmetry_Int_Tables_number 123
_symmetry_space_group_name_Hall '-P 4 2'
loop_
_atom_site_label
_atom_site_type_symbol
_atom_site_fract_x
_atom_site_fract_y
_atom_site_fract_z
_atom_site_occupancy
H1 H 0.0000 0.0000 0.0000 1
Pd1 Pd 0.5000 0.5000 0.5000 1
Pb1 Pb 0.0000 0.5000 0.0000 1
N1 N 0.0000 0.0000 0.5000 1
```

Values from the calculation:
* DFT total energy: -4.331 eV/atom
* calculated volume: 16.05 Å³/atom
* size of the total moment: 0.00 μB/cell
* density of states at the Fermi level: 0.17 states/eV/atom

***

Q: size of the total moment of number 8 (ZrNb2Tl2)?
A: 0.00 μB/cell